[1]
Compound: Tm3Ge4
Source: Alexandria via LeMat-Bulk
Functional: PBEsol
Structure: optimized geometry

ΔH_f (0 K): -0.829 eV per atom
Magnetization: 0.000 μB per cell

abc: 5.5761 5.5761 13.9558
angles: 90.00 90.00 138.60
With the nearest neighbours (Å) after each atom.
Element x y z (fractional)
Tm  0.0458  0.9542  0.7500  7 Ge 2.81-3.11
Tm  0.3302  0.6698  0.5972  8 Ge 2.91-3.02
Tm  0.3302  0.6698  0.9028  8 Ge 2.91-3.02
Tm  0.6698  0.3302  0.0972  8 Ge 2.91-3.02
Tm  0.6698  0.3302  0.4028  8 Ge 2.91-3.02
Tm  0.9542  0.0458  0.2500  7 Ge 2.81-3.11
Ge  0.0000  0.0000  0.0000  4 Ge 2.78, 4 Tm 2.98
Ge  0.0000  0.0000  0.5000  4 Ge 2.78, 4 Tm 2.98
Ge  0.2240  0.7760  0.2500  2 Ge 2.57, 1 Tm 2.81
Ge  0.3804  0.6196  0.1081  3 Ge 2.57-2.78
Ge  0.3804  0.6196  0.3919  3 Ge 2.57-2.78
Ge  0.6196  0.3804  0.6081  3 Ge 2.57-2.78
Ge  0.6196  0.3804  0.8919  3 Ge 2.57-2.78
Ge  0.7760  0.2240  0.7500  2 Ge 2.57, 1 Tm 2.81



[2]
Compound: Te2IrPt
Source: Alexandria via LeMat-Bulk
Functional: PBEsol
Structure: optimized geometry

Formation energy without anion corrections: 715 meV/atom
E above lowest polymorph: 0.826 eV/atom
Magnetization: 0.000 μB per cell

abc: 4.7765 4.7765 4.7765
angles: 60.00 60.00 60.00
With the nearest neighbours (Å) after each atom.
Element x y z (fractional)
Te  0.0000  0.0000  0.0000  4 Pt 2.93, 4 Te 2.93
Te  0.2500  0.2500  0.2500  4 Ir 2.93, 4 Te 2.93
Ir  0.5000  0.5000  0.5000  4 Te 2.93, 4 Pt 2.93
Pt  0.7500  0.7500  0.7500  4 Ir 2.93, 4 Te 2.93



[3]
Compound: Be2InHg
Source: Alexandria via LeMat-Bulk
Functional: PBEsol
Structure: optimized geometry

ΔH_f (0 K): 0.533 eV per atom
E above lowest polymorph: 0.187 eV/atom
Magnetization: 0.000 μB per cell

abc: 5.0285 5.0285 3.4264
angles: 105.14 105.14 113.82
With the nearest neighbours (Å) after each atom.
Element x y z (fractional)
Be  0.0000  0.5000  0.0000  2 Hg 2.51, 2 In 2.51, 2 Be 2.75
Be  0.5000  0.0000  0.0000  2 Hg 2.51, 2 In 2.51, 2 Be 2.75
In  0.0000  0.0000  0.0000  4 Be 2.51, 2 Hg 2.75
Hg  0.5000  0.5000  0.0000  4 Be 2.51, 2 In 2.75



[4]
Compound: ZnIn2Se
Source: Alexandria via LeMat-Bulk
Functional: PBEsol
Structure: optimized geometry

Formation energy without anion corrections: -114 meV/atom
E above lowest polymorph: 0.000 eV/atom
Magnetization: 0.000 μB per cell

abc: 5.1130 3.7754 5.1870
angles: 90.00 111.29 90.00
With the nearest neighbours (Å) after each atom.
Element x y z (fractional)
Zn  0.0000  0.0000  0.0000  2 Se 2.54, 2 In 2.79
In  0.4563  0.0000  0.5388  2 Se 2.90, 2 Zn 2.92-2.94, 2 In 3.17
In  0.7580  0.5000  0.2416  2 Zn 2.79, 2 Se 2.95
Se  0.1991  0.5000  0.7989  2 Zn 2.54



[5]
Compound: ZrNiSI2
Source: Alexandria via LeMat-Bulk
Functional: PBEsol
Structure: optimized geometry

Formation energy without anion corrections: 669 meV/atom
Magnetization: 2.132 μB per cell

abc: 5.5497 5.5497 4.7290
angles: 90.00 90.00 90.00
With the nearest neighbours (Å) after each atom.
Element x y z (fractional)
Zr  0.0000  0.0000  0.0000  2 Ni 2.36
Ni  0.0000  0.0000  0.5000  2 Zr 2.36
S  0.5000  0.5000  0.5000  8 I 3.65, 4 Ni 3.92
I  0.0000  0.5000  0.0000  2 Zr 2.77
I  0.5000  0.0000  0.0000  2 Zr 2.77



[6]
Compound: RbPtS3
Source: Alexandria via LeMat-Bulk
Functional: PBEsol
Structure: optimized geometry

Formation energy without anion corrections: -75 meV/atom
Magnetization: 1.747 μB per cell

abc: 4.7966 4.7966 4.7966
angles: 90.00 90.00 90.00
With the nearest neighbours (Å) after each atom.
Element x y z (fractional)
Rb  0.0000  0.0000  0.0000  12 S 3.39
Pt  0.5000  0.5000  0.5000  6 S 2.40
S  0.0000  0.5000  0.5000  2 Pt 2.40
S  0.5000  0.0000  0.5000  2 Pt 2.40
S  0.5000  0.5000  0.0000  2 Pt 2.40



[7]
Compound: ScCO2
Source: Alexandria via LeMat-Bulk
Functional: PBEsol
Structure: optimized geometry

Formation energy without anion corrections: -469 meV/atom
Magnetization: 0.000 μB per cell

abc: 6.4708 6.4708 6.4708
angles: 145.19 145.19 50.06
With the nearest neighbours (Å) after each atom.
Element x y z (fractional)
Sc  0.0000  0.0000  0.0000  4 O 2.04
Sc  0.7500  0.2500  0.5000  4 O 2.04
C  0.2500  0.7500  0.5000  4 O 1.98
C  0.5000  0.5000  0.0000  4 O 1.98
O  0.1410  0.6250  0.0160  2 C 1.98, 2 Sc 2.04
O  0.3750  0.3910  0.5160  2 C 1.98, 2 Sc 2.04
O  0.6090  0.1250  0.9840  2 C 1.98, 2 Sc 2.04
O  0.8750  0.8590  0.4840  2 C 1.98, 2 Sc 2.04



[8]
Compound: SrIrN2
Source: Alexandria via LeMat-Bulk
Functional: PBEsol
Structure: optimized geometry

Formation energy without anion corrections: 210 meV/atom
E above lowest polymorph: 0.000 eV/atom
Magnetization: 0.000 μB per cell

abc: 6.5130 6.5130 6.5130
angles: 33.56 33.56 33.56
With the nearest neighbours (Å) after each atom.
Element x y z (fractional)
Sr  0.0000  0.0000  0.0000  6 N 2.53
Ir  0.5000  0.5000  0.5000  2 N 1.77
N  0.4039  0.4039  0.4039  1 Ir 1.77
N  0.5961  0.5961  0.5961  1 Ir 1.77